First-principles (PBE-GGA) data for crystalline TbEr3Tm4 at its relaxed geometry, as listed in the Alexandria database.

Properties
- Total magnetic moment: 0.0004 μB/atom
- ΔH_f (0 K): -0.002 eV/atom
- Total DFT energy (no corrections): -4.528 eV per atom
- E above lowest polymorph: 0 meV/atom

a = 6.188 Å, b = 7.158 Å, c = 11.063 Å
α = 90.00°, β = 90.00°, γ = 90.00°
Sites, in units of the cell vectors:
Er: 0.981 0.626 0.250
Tm: 0.148 0.876 0.500
Tm: 0.647 0.124 0.500
Tb: 0.148 0.374 0.000
Tb: 0.648 0.626 0.500
Tm: 0.981 0.124 0.251
Er: 0.147 0.374 0.500
Tm: 0.981 0.124 0.749
Tm: 0.147 0.876 0.000
Tm: 0.481 0.876 0.751
Tm: 0.648 0.124 0.000
Er: 0.647 0.626 0.000
Tm: 0.481 0.876 0.249
Er: 0.981 0.626 0.750
Er: 0.481 0.374 0.250
Er: 0.481 0.374 0.750